[1]
Computed, not measured: PrInNiPd after structural relaxation at the PBE level of DFT.

Unit cell a=4.8450 b=4.8450 c=4.8450 alpha=60.00 beta=60.00 gamma=60.00
Closest atoms and distances in Å follow each position.
Fractional coordinates of all 4 atoms:
Pr 0.7500 0.7500 0.7500  4 Ni 2.97, 4 Pd 2.97
Pd 0.5000 0.5000 0.5000  4 Pr 2.97, 4 In 2.97
In 0.2500 0.2500 0.2500  4 Pd 2.97, 4 Ni 2.97
Ni 0.0000 0.0000 0.0000  4 In 2.97, 4 Pr 2.97

Calculated values
As for the magnetization: 0.00 μB/cell. Its calculated formation energy is -0.450 eV per atom.

=====

[2]
Computed, not measured: CrGa2BSb after structural relaxation at the PBE level of DFT.

Unit cell a=5.2934 b=4.2868 c=5.2934 alpha=90.00 beta=90.00 gamma=90.00
Closest atoms and distances in Å follow each position.
Fractional coordinates of all 5 atoms:
B 0.0000 0.5000 0.0000  2 Sb 2.14
Ga 0.5000 0.0000 0.0000  2 Sb 2.65
Ga 0.0000 0.0000 0.5000  2 Sb 2.65
Sb 0.0000 0.0000 0.0000  2 B 2.14
Cr 0.5000 0.5000 0.5000  8 Ga 3.41, 4 B 3.74

Calculated values
As for the magnetization: 0.40 μB/cell. Its formation energy without anion corrections is 917.0 kJ/mol of formula units.